Compound: CoCuRhO6
Source: the Alexandria database
Functional: GGA+U
Structure: optimized geometry Values from VASP.

Geometry as Quantum ESPRESSO input:
```
&SYSTEM
  ibrav = 0, nat = 18, ntyp = 4
/
ATOMIC_SPECIES
Co 58.93 Co.upf
Cu 63.55 Cu.upf
Rh 102.91 Rh.upf
O 16.00 O.upf
CELL_PARAMETERS angstrom
4.944 0.000 0.000
-2.472 4.282 0.000
0.000 0.000 8.522
ATOMIC_POSITIONS angstrom
Co 0.000 2.854 2.130
Co 2.472 1.427 6.391
Cu 0.000 0.000 0.000
Cu 0.000 0.000 4.261
Rh 0.000 2.854 6.391
Rh 2.472 1.427 2.130
O -0.822 1.540 1.084
O -1.550 2.800 3.177
O 0.822 1.540 3.177
O -0.727 4.224 1.084
O 1.745 0.058 5.345
O 0.922 1.482 7.438
O 1.550 2.800 1.084
O 0.727 4.224 3.177
O 3.199 0.058 7.438
O 1.650 2.742 5.345
O 4.022 1.482 5.345
O 3.294 2.742 7.438
```

## Properties
Spin magnetization   5.77 μB/cell
V   180.40 Å³/cell
N(E_F)   15.7 states/eV per cell
Crystal system   trigonal

Compound: CoCuRuO6
Source: the Alexandria database
Functional: GGA+U
Structure: optimized geometry Values from VASP.

Geometry as Quantum ESPRESSO input:
```
&SYSTEM
  ibrav = 0, nat = 18, ntyp = 4
/
ATOMIC_SPECIES
Co 58.93 Co.upf
Cu 63.55 Cu.upf
Ru 101.07 Ru.upf
O 16.00 O.upf
CELL_PARAMETERS angstrom
4.916 0.000 0.000
-2.458 4.258 0.000
0.000 0.000 8.639
ATOMIC_POSITIONS angstrom
Co 0.000 2.839 2.160
Co 2.458 1.419 6.480
Cu 0.000 0.000 0.000
Cu 0.000 0.000 4.320
Ru 0.000 2.839 6.480
Ru 2.458 1.419 2.160
O -0.864 1.532 1.107
O -1.564 2.744 3.213
O 0.864 1.532 3.213
O -0.700 4.240 1.107
O 1.759 0.018 5.427
O 0.895 1.514 7.532
O 1.564 2.744 1.107
O 0.700 4.240 3.213
O 3.158 0.018 7.532
O 1.594 2.726 5.427
O 4.022 1.514 5.427
O 3.322 2.726 7.532
```

## Properties
Spin magnetization   0.00 μB/cell
V   180.85 Å³/cell
N(E_F)   12.4 states/eV per cell
Crystal system   trigonal

Compound: CoCuRuO4
Source: the Alexandria database
Functional: GGA+U
Structure: optimized geometry Values from VASP.

Geometry as Quantum ESPRESSO input:
```
&SYSTEM
  ibrav = 0, nat = 14, ntyp = 4
/
ATOMIC_SPECIES
Co 58.93 Co.upf
Cu 63.55 Cu.upf
Ru 101.07 Ru.upf
O 16.00 O.upf
CELL_PARAMETERS angstrom
-2.763 2.975 4.388
2.763 -2.975 4.388
2.763 2.975 -4.388
ATOMIC_POSITIONS angstrom
Co 0.000 0.000 0.000
Co 0.000 2.975 0.000
Cu 2.763 1.488 1.122
Cu 0.000 1.488 3.266
Ru 1.382 1.488 -2.194
Ru 1.382 -1.488 2.194
O 2.763 2.972 -2.446
O 1.260 1.488 -0.157
O 1.503 -1.488 4.231
O 2.763 -0.003 2.446
O 0.000 2.978 1.942
O 1.260 4.463 0.157
O 1.503 1.488 4.544
O 0.000 0.003 6.833
```

## Properties
Spin magnetization   1.26 μB/cell
V   144.28 Å³/cell
N(E_F)   10.9 states/eV per cell
Crystal system   orthorhombic

| no. | final energy (eV/cell) |
| --- | --- |
| 1 | -101.21 |
| 2 | -107.93 |
| 3 | -87.76 |